Record 1
! FeAgBr2 (PBE, relaxed); values from VASP
! DOS at the Fermi energy (states/eV per cell): 2.79
! Crystal system: orthorhombic
! Excess energy over the best structure of this formula in the dataset (meV/atom): 182
! Formation energy (no corrections) (eV per atom): 0.155
! Energy (eV/atom): -3.51
&SYSTEM
  ibrav = 0, nat = 4, ntyp = 3
/
ATOMIC_SPECIES
Ag 107.87 Ag.upf
Fe 55.84 Fe.upf
Br 79.90 Br.upf
CELL_PARAMETERS angstrom
-5.965 -3.847 1.108
-2.976 -6.036 -2.516
5.480 3.735 2.764
ATOMIC_POSITIONS crystal
Ag 0.306 0.806 0.500
Fe 0.538 0.538 0.000
Br 0.968 0.968 0.000
Br 0.689 0.189 0.500

=====

Record 2
! HgPtAu2 (PBE, relaxed); values from VASP
! DOS at the Fermi energy (states/eV per cell): 0.86
! Crystal system: orthorhombic
! Energy (eV/atom): -3.19
! DFT formation energy (eV/atom): 0.038
&SYSTEM
  ibrav = 0, nat = 4, ntyp = 3
/
ATOMIC_SPECIES
Au 196.97 Au.upf
Pt 195.08 Pt.upf
Hg 200.59 Hg.upf
CELL_PARAMETERS angstrom
-2.449 1.863 -4.061
2.602 -1.246 -4.202
-1.622 -2.812 3.915
ATOMIC_POSITIONS crystal
Au 0.000 0.000 0.000
Au 0.750 0.250 0.500
Pt 0.250 0.750 0.500
Hg 0.500 0.500 0.000

=====

Record 3
! Ca2ZnIr3 (PBE, relaxed); values from VASP
! DOS at the Fermi energy (states/eV per cell): 7.13
! Crystal system: monoclinic
! Energy (eV/atom): -5.74
! DFT formation energy (eV/atom): -0.429
&SYSTEM
  ibrav = 0, nat = 6, ntyp = 3
/
ATOMIC_SPECIES
Ir 192.22 Ir.upf
Ca 40.08 Ca.upf
Zn 65.41 Zn.upf
CELL_PARAMETERS angstrom
2.036 4.355 -2.536
2.636 -4.748 -0.233
-4.411 -2.350 -1.754
ATOMIC_POSITIONS crystal
Ir 0.500 0.500 0.500
Ir 0.500 0.000 0.500
Ir 0.000 0.000 0.500
Ca 0.246 0.623 0.869
Ca 0.754 0.377 0.131
Zn 0.000 0.000 0.000

=====

Record 4
! Mg3Cd8Hg2 (PBE, relaxed); values from VASP
! DOS at the Fermi energy (states/eV per cell): 3.71
! Crystal system: monoclinic
! Energy (eV/atom): -0.98
! DFT formation energy (eV/atom): 0.000
&SYSTEM
  ibrav = 0, nat = 13, ntyp = 3
/
ATOMIC_SPECIES
Cd 112.41 Cd.upf
Hg 200.59 Hg.upf
Mg 24.30 Mg.upf
CELL_PARAMETERS angstrom
-4.316 0.061 -4.085
2.355 -7.694 -2.604
-4.372 1.298 5.944
ATOMIC_POSITIONS crystal
Cd 0.220 0.786 0.573
Cd 0.540 0.569 0.758
Cd 0.460 0.811 0.242
Cd 0.866 0.587 0.173
Cd 0.780 0.214 0.427
Cd 0.460 0.431 0.242
Cd 0.134 0.413 0.827
Cd 0.540 0.189 0.758
Hg 0.250 0.183 0.367
Hg 0.750 0.817 0.633
Mg 0.000 0.816 0.000
Mg 0.000 0.184 0.000
Mg 0.500 0.000 0.000

=====

Record 5
! Tl2ZnCdAg (PBE, relaxed); values from VASP
! DOS at the Fermi energy (states/eV per cell): 2.22
! Crystal system: triclinic
! Excess energy over the best structure of this formula in the dataset (meV/atom): 1
! Energy (eV/atom): -1.87
! DFT formation energy (eV/atom): 0.087
&SYSTEM
  ibrav = 0, nat = 5, ntyp = 4
/
ATOMIC_SPECIES
Zn 65.41 Zn.upf
Tl 204.38 Tl.upf
Ag 107.87 Ag.upf
Cd 112.41 Cd.upf
CELL_PARAMETERS angstrom
-1.279 0.300 4.629
3.876 -3.713 1.302
1.734 5.079 -2.345
ATOMIC_POSITIONS crystal
Zn 0.921 0.207 0.778
Tl 0.222 0.755 0.379
Tl 0.619 0.151 0.174
Ag 0.920 0.731 0.775
Cd 0.420 0.452 0.776

=====

Record 6
! AlCr2 (PBE, relaxed); values from VASP
! DOS at the Fermi energy (states/eV per cell): 7.10
! Crystal system: tetragonal
! Energy (eV/atom): -7.40
! DFT formation energy (eV/atom): 0.263
&SYSTEM
  ibrav = 0, nat = 6, ntyp = 2
/
ATOMIC_SPECIES
Cr 52.00 Cr.upf
Al 26.98 Al.upf
CELL_PARAMETERS angstrom
-2.866 2.866 2.425
2.866 -2.866 2.425
2.866 2.866 -2.425
ATOMIC_POSITIONS crystal
Cr 0.130 0.630 0.760
Cr 0.370 0.130 0.500
Cr 0.630 0.870 0.500
Cr 0.870 0.370 0.240
Al 0.250 0.250 0.000
Al 0.750 0.750 0.000

=====

Record 7
! GaHg3O (PBE, relaxed); values from VASP
! DOS at the Fermi energy (states/eV per cell): 13.22
! Crystal system: cubic
! Excess energy over the best structure of this formula in the dataset (meV/atom): 263
! Formation energy (no corrections) (eV per atom): 0.556
! Energy (eV/atom): -1.22
&SYSTEM
  ibrav = 0, nat = 5, ntyp = 3
/
ATOMIC_SPECIES
Hg 200.59 Hg.upf
Ga 69.72 Ga.upf
O 16.00 O.upf
CELL_PARAMETERS angstrom
5.229 0.000 0.000
0.000 5.229 0.000
0.000 0.000 5.229
ATOMIC_POSITIONS crystal
Hg 0.000 0.500 0.000
Hg 0.500 0.000 0.000
Hg 0.000 0.000 0.500
Ga 0.000 0.000 0.000
O 0.500 0.500 0.500

=====

Record 8
! YHg2As (PBE, relaxed); values from VASP
! DOS at the Fermi energy (states/eV per cell): 0.47
! Crystal system: tetragonal
! Energy (eV/atom): -3.32
! DFT formation energy (eV/atom): -0.390
&SYSTEM
  ibrav = 0, nat = 8, ntyp = 3
/
ATOMIC_SPECIES
Hg 200.59 Hg.upf
As 74.92 As.upf
Y 88.91 Y.upf
CELL_PARAMETERS angstrom
-4.379 -2.036 -6.789
7.085 -1.038 -4.259
1.420 -4.298 -4.739
ATOMIC_POSITIONS crystal
Hg 0.155 0.625 0.250
Hg 0.595 0.125 0.250
Hg 0.375 0.405 0.750
Hg 0.875 0.845 0.750
As 0.500 0.500 0.000
As 0.250 0.750 0.500
Y 0.000 0.000 0.000
Y 0.750 0.250 0.500

=====

Record 9
! Y2FeOs (PBE, relaxed); values from VASP
! DOS at the Fermi energy (states/eV per cell): 3.71
! Crystal system: orthorhombic
! Energy (eV/atom): -8.26
! DFT formation energy (eV/atom): -0.102
&SYSTEM
  ibrav = 0, nat = 4, ntyp = 3
/
ATOMIC_SPECIES
Fe 55.84 Fe.upf
Os 190.23 Os.upf
Y 88.91 Y.upf
CELL_PARAMETERS angstrom
4.060 0.000 0.000
0.000 4.362 0.000
0.000 2.187 5.025
ATOMIC_POSITIONS crystal
Fe 0.000 0.675 0.526
Os 0.500 0.575 0.725
Y 0.000 0.979 0.917
Y 0.500 0.271 0.333

=====

Record 10
! Ac2CdBi3Pd4 (PBE, relaxed); values from VASP
! DOS at the Fermi energy (states/eV per cell): 5.56
! Crystal system: tetragonal
! Energy (eV/atom): -4.81
! DFT formation energy (eV/atom): -0.656
&SYSTEM
  ibrav = 0, nat = 10, ntyp = 4
/
ATOMIC_SPECIES
Cd 112.41 Cd.upf
Bi 208.98 Bi.upf
Ac 227.00 Ac.upf
Pd 106.42 Pd.upf
CELL_PARAMETERS angstrom
-4.739 -0.692 -0.318
0.753 -4.547 -1.337
-0.250 -3.156 10.591
ATOMIC_POSITIONS crystal
Cd 0.500 0.500 0.500
Bi 0.500 0.000 0.870
Bi 0.000 0.500 0.130
Bi 0.000 0.000 0.500
Ac 0.000 0.500 0.766
Ac 0.500 0.000 0.234
Pd 0.500 0.500 0.000
Pd 0.000 0.000 0.000
Pd 0.500 0.000 0.627
Pd 0.000 0.500 0.373

=====

Record 11
! BaTiSi3 (PBE, relaxed); values from VASP
! DOS at the Fermi energy (states/eV per cell): 1.67
! Crystal system: cubic
! Excess energy over the best structure of this formula in the dataset (meV/atom): 0
! Formation energy (no corrections) (eV per atom): -0.139
! Energy (eV/atom): -5.36
&SYSTEM
  ibrav = 0, nat = 5, ntyp = 3
/
ATOMIC_SPECIES
Ti 47.87 Ti.upf
Si 28.09 Si.upf
Ba 137.33 Ba.upf
CELL_PARAMETERS angstrom
-3.288 0.076 3.629
-2.062 -4.068 -1.784
2.987 -2.725 2.764
ATOMIC_POSITIONS crystal
Ti 0.000 0.000 0.000
Si 0.000 0.500 0.000
Si 0.500 0.000 0.000
Si 0.000 0.000 0.500
Ba 0.500 0.500 0.500

=====

Record 12
! AgRuSe2 (PBE, relaxed); values from VASP
! DOS at the Fermi energy (states/eV per cell): 2.29
! Crystal system: tetragonal
! Excess energy over the best structure of this formula in the dataset (meV/atom): 181
! Formation energy (no corrections) (eV per atom): 0.092
! Energy (eV/atom): -4.68
&SYSTEM
  ibrav = 0, nat = 4, ntyp = 3
/
ATOMIC_SPECIES
Ag 107.87 Ag.upf
Se 78.96 Se.upf
Ru 101.07 Ru.upf
CELL_PARAMETERS angstrom
-0.259 -1.041 2.793
-0.124 -2.797 -1.054
8.730 -0.606 0.585
ATOMIC_POSITIONS crystal
Ag 0.000 0.000 0.527
Se 0.500 0.500 0.287
Se 0.000 0.000 0.916
Ru 0.500 0.500 0.770